# ScSi3Rh5, relaxed, DFT GGA-PBE
# DOS at the Fermi energy = 0.568 states/eV per atom
# ΔE_f (raw) = -0.71 eV per atom
# Total moment = 0.0 Bohr magnetons per cell
data_ScSi3Rh5
_symmetry_space_group_name_H-M 'C m c m'
_symmetry_Int_Tables_number 63
_symmetry_space_group_name_Hall '-C 2c 2'
_cell_length_a 3.783
_cell_length_b 10.355
_cell_length_c 13.838
_cell_angle_alpha 90.00
_cell_angle_beta 90.00
_cell_angle_gamma 90.00
loop_
_atom_site_label
_atom_site_type_symbol
_atom_site_fract_x
_atom_site_fract_y
_atom_site_fract_z
Sc1 Sc 0.000 0.209 0.250
Si1 Si 0.000 0.051 0.750
Si2 Si 0.000 0.356 0.015
Rh1 Rh 0.000 0.000 0.000
Rh2 Rh 0.000 0.211 0.618
Rh3 Rh 0.000 0.487 0.650

***

# LiSn3Hg4, relaxed, DFT GGA-PBE
# DOS at the Fermi energy = 0.286 states/eV per atom
# Total moment = 0.0 Bohr magnetons per cell
# Formation enthalpy at 0 K = -35.8 meV per atom
data_LiSn3Hg4
_symmetry_space_group_name_H-M 'P m m n'
_symmetry_Int_Tables_number 59
_cell_length_a 4.442
_cell_length_b 9.692
_cell_length_c 9.444
_cell_angle_alpha 90.00
_cell_angle_beta 90.00
_cell_angle_gamma 90.00
loop_
_symmetry_equiv_pos_as_xyz
'x,y,z'
'-x,-y,-z'
'-x+1/2,-y+1/2,z'
'x+1/2,y+1/2,-z'
'x+1/2,-y,-z'
'-x+1/2,y,z'
'-x,y+1/2,-z'
'x,-y+1/2,z'
loop_
_atom_site_label
_atom_site_type_symbol
_atom_site_fract_x
_atom_site_fract_y
_atom_site_fract_z
Li1 Li 0.250 0.250 0.147
Sn1 Sn 0.250 0.000 0.881
Sn2 Sn 0.250 0.750 0.111
Hg1 Hg 0.250 0.004 0.371
Hg2 Hg 0.250 0.250 0.614
Hg3 Hg 0.250 0.750 0.638

***

# SiAsOs2, relaxed, DFT GGA-PBE
# DOS at the Fermi energy = 0.881 states/eV per atom
# ΔE_f (raw) = 0.52 eV per atom
# Total moment = 0.0 Bohr magnetons per cell
data_SiAsOs2
_symmetry_space_group_name_H-M 'C m m 2'
_symmetry_Int_Tables_number 35
_cell_length_a 2.807
_cell_length_b 4.799
_cell_length_c 9.673
_cell_angle_alpha 90.00
_cell_angle_beta 90.00
_cell_angle_gamma 90.00
loop_
_symmetry_equiv_pos_as_xyz
'x,y,z'
'-x,-y,z'
'-x,y,z'
'x,-y,z'
'x+1/2,y+1/2,z'
'-x+1/2,-y+1/2,z'
'-x+1/2,y+1/2,z'
'x+1/2,-y+1/2,z'
loop_
_atom_site_label
_atom_site_type_symbol
_atom_site_fract_x
_atom_site_fract_y
_atom_site_fract_z
Si1 Si 0.000 0.000 0.000
As1 As 0.000 0.500 0.328
Os1 Os 0.000 0.000 0.550
Os2 Os 0.000 0.500 0.790

***

# PrDy2Ir, relaxed, DFT GGA-PBE
# DOS at the Fermi energy = 1.120 states/eV per atom
# Total moment = 0.0 Bohr magnetons per cell
# Formation enthalpy at 0 K = -527.7 meV per atom
data_PrDy2Ir
_symmetry_space_group_name_H-M 'P n m a'
_symmetry_Int_Tables_number 62
_cell_length_a 7.308
_cell_length_b 9.440
_cell_length_c 6.498
_cell_angle_alpha 90.00
_cell_angle_beta 90.00
_cell_angle_gamma 90.00
loop_
_symmetry_equiv_pos_as_xyz
'x,y,z'
'-x,-y,-z'
'-x+1/2,-y,z+1/2'
'x+1/2,y,-z+1/2'
'x+1/2,-y+1/2,-z+1/2'
'-x+1/2,y+1/2,z+1/2'
'-x,y+1/2,-z'
'x,-y+1/2,z'
loop_
_atom_site_label
_atom_site_type_symbol
_atom_site_fract_x
_atom_site_fract_y
_atom_site_fract_z
Pr1 Pr 0.034 0.250 0.134
Dy1 Dy 0.175 0.065 0.669
Ir1 Ir 0.117 0.750 0.431

***

# HoMgHgRu, relaxed, DFT GGA-PBE
# DOS at the Fermi energy = 0.738 states/eV per atom
# Total moment = 0.0 Bohr magnetons per cell
# Formation enthalpy at 0 K = -166.4 meV per atom
data_HoMgHgRu
_symmetry_space_group_name_H-M 'F -4 3 m'
_symmetry_Int_Tables_number 216
_symmetry_space_group_name_Hall 'F -4 2 3'
_cell_length_a 6.839
_cell_length_b 6.839
_cell_length_c 6.839
_cell_angle_alpha 90.00
_cell_angle_beta 90.00
_cell_angle_gamma 90.00
loop_
_atom_site_label
_atom_site_type_symbol
_atom_site_fract_x
_atom_site_fract_y
_atom_site_fract_z
Ho1 Ho 0.000 0.000 0.000
Mg1 Mg 0.000 0.000 0.500
Hg1 Hg 0.250 0.250 0.750
Ru1 Ru 0.250 0.250 0.250

***

# CeMgIn, relaxed, DFT GGA-PBE
# DOS at the Fermi energy = 1.765 states/eV per atom
# Total moment = 3.9 Bohr magnetons per cell
# Formation enthalpy at 0 K = -52.9 meV per atom
data_CeMgIn
_symmetry_space_group_name_H-M 'I 4/m m m'
_symmetry_Int_Tables_number 139
_symmetry_space_group_name_Hall '-I 4 2'
_cell_length_a 3.546
_cell_length_b 3.546
_cell_length_c 24.545
_cell_angle_alpha 90.00
_cell_angle_beta 90.00
_cell_angle_gamma 90.00
loop_
_atom_site_label
_atom_site_type_symbol
_atom_site_fract_x
_atom_site_fract_y
_atom_site_fract_z
Ce1 Ce 0.000 0.000 0.054
Mg1 Mg 0.000 0.000 0.214
In1 In 0.000 0.000 0.354

***

# NaSmTe4Pb2, relaxed, DFT GGA-PBE
# ΔE_f (raw) = -0.83 eV per atom
# Total moment = 0.0 Bohr magnetons per cell
data_NaSmTe4Pb2
_symmetry_space_group_name_H-M 'P 1 2/m 1'
_symmetry_Int_Tables_number 10
_cell_length_a 7.900
_cell_length_b 4.568
_cell_length_c 7.963
_cell_angle_alpha 90.00
_cell_angle_beta 108.79
_cell_angle_gamma 90.00
loop_
_symmetry_equiv_pos_as_xyz
'x,y,z'
'-x,-y,-z'
'-x,y,-z'
'x,-y,z'
loop_
_atom_site_label
_atom_site_type_symbol
_atom_site_fract_x
_atom_site_fract_y
_atom_site_fract_z
Na1 Na 0.000 0.000 0.000
Sm1 Sm 0.500 0.500 0.000
Te1 Te 0.255 0.500 0.242
Te2 Te 0.258 0.000 0.761
Pb1 Pb 0.000 0.500 0.500
Pb2 Pb 0.500 0.000 0.500

***

# Ho6ErTm2, relaxed, DFT GGA-PBE
# DOS at the Fermi energy = 1.385 states/eV per atom
# Total moment = 0.0 Bohr magnetons per cell
# Formation enthalpy at 0 K = 73.8 meV per atom
data_Ho6ErTm2
_symmetry_space_group_name_H-M 'C 1 2/c 1'
_symmetry_Int_Tables_number 15
_cell_length_a 13.191
_cell_length_b 11.535
_cell_length_c 8.900
_cell_angle_alpha 90.00
_cell_angle_beta 125.26
_cell_angle_gamma 90.00
loop_
_symmetry_equiv_pos_as_xyz
'x,y,z'
'-x,-y,-z'
'-x,y,-z+1/2'
'x,-y,z+1/2'
'x+1/2,y+1/2,z'
'-x+1/2,-y+1/2,-z'
'-x+1/2,y+1/2,-z+1/2'
'x+1/2,-y+1/2,z+1/2'
loop_
_atom_site_label
_atom_site_type_symbol
_atom_site_fract_x
_atom_site_fract_y
_atom_site_fract_z
Ho1 Ho 0.083 0.112 0.487
Ho2 Ho 0.153 0.150 0.907
Ho3 Ho 0.205 0.410 0.630
Er1 Er 0.000 0.415 0.750
Tm1 Tm 0.110 0.328 0.195

***

- Among the records above, which one has the highest total moment?
  CeMgIn

***

- What is the formula in the sixth record?
  CeMgIn

***

- Which formula does entry 5 have?
  HoMgHgRu